Entry 1:
This record from OQMD describes an optimized crystal structure of NpNbHg. The functional is PBE.

Results
Size of the total moment   15.58 μB per cell
VASP energy   -20.299 eV per formula unit
Relative energy among the computed polymorphs   0.0 meV per atom

Cell lengths 6.668, 6.668, 6.668 Å; angles 90.00, 90.00, 90.00 degrees
Space group F-43m (No. 216)
Symmetry-distinct sites (fractional):
Np 0.000 0.000 0.000 x4
Nb 0.250 0.250 0.750 x4
Hg 0.000 0.000 0.500 x4

---

Entry 2:
This record from OQMD describes an optimized crystal structure of NpNbHg. The functional is PBE.

Results
Size of the total moment   16.43 μB per cell
VASP energy   -19.383 eV per formula unit
Relative energy among the computed polymorphs   305.3 meV per atom

Cell lengths 6.631, 6.631, 6.631 Å; angles 90.00, 90.00, 90.00 degrees
Space group F-43m (No. 216)
Symmetry-distinct sites (fractional):
Np 0.000 0.000 0.000 x4
Nb 0.250 0.250 0.250 x4
Hg 0.250 0.250 0.750 x4

---

Entry 3:
This record from OQMD describes an optimized crystal structure of Nb2Hg2O7. The functional is PBE.

Results
Size of the total moment   0.00 μB per cell
VASP energy   -74.287 eV per formula unit

Cell lengths 10.531, 10.531, 10.531 Å; angles 90.00, 90.00, 90.00 degrees
Space group Fd-3m (No. 227, origin choice 2)
Symmetry-distinct sites (fractional):
Nb 0.000 0.000 0.000 x16
Hg 0.000 0.000 0.500 x16
O 0.066 0.375 0.375 x48
O 0.125 0.125 0.625 x8

---

Entry 4:
This record from OQMD describes an optimized crystal structure of NbHgPO. The functional is PBE.

Results
Size of the total moment   0.00 μB per cell
VASP energy   -23.839 eV per formula unit
Relative energy among the computed polymorphs   52.4 meV per atom

Cell lengths 3.500, 6.767, 7.215 Å; angles 90.00, 90.00, 90.00 degrees
Space group Pmc2_1 (No. 26)
Symmetry-distinct sites (fractional):
Nb 0.000 0.099 0.000 x2
Hg 0.500 0.290 0.545 x2
P 0.500 0.336 0.951 x2
O 0.000 0.036 0.262 x2

---

Entry 5:
This record from OQMD describes an optimized crystal structure of NbHgPO. The functional is PBE.

Results
Size of the total moment   0.00 μB per cell
VASP energy   -24.048 eV per formula unit
Relative energy among the computed polymorphs   0.0 meV per atom

Cell lengths 3.794, 8.315, 5.021 Å; angles 90.00, 90.00, 90.00 degrees
Space group Pmc2_1 (No. 26)
Symmetry-distinct sites (fractional):
Nb 0.000 0.120 0.000 x2
Hg 0.500 0.413 0.511 x2
P 0.000 0.172 0.501 x2
O 0.500 0.177 0.001 x2

---

Entry 6:
This record from OQMD describes an optimized crystal structure of NbHgPO. The functional is PBE.

Results
Size of the total moment   0.37 μB per cell
VASP energy   -22.887 eV per formula unit
Relative energy among the computed polymorphs   290.3 meV per atom

Cell lengths 3.583, 3.583, 10.849 Å; angles 90.00, 90.00, 90.00 degrees
Space group P4/nmm (No. 129, origin choice 2)
Symmetry-distinct sites (fractional):
Nb 0.250 0.250 0.118 x2
Hg 0.250 0.750 0.500 x2
P 0.250 0.250 0.775 x2
O 0.250 0.750 0.000 x2

---

Entry 7:
This record from OQMD describes an optimized crystal structure of NbHgPO. The functional is PBE.

Results
Size of the total moment   0.09 μB per cell
VASP energy   -21.862 eV per formula unit
Relative energy among the computed polymorphs   546.6 meV per atom

Cell lengths 4.877, 4.877, 5.071 Å; angles 90.00, 90.00, 90.00 degrees
Space group P4/nmm (No. 129, origin choice 2)
Symmetry-distinct sites (fractional):
Nb 0.250 0.750 0.000 x2
Hg 0.250 0.250 0.364 x2
P 0.250 0.250 0.852 x2
O 0.250 0.750 0.500 x2

---

Entry 8:
This record from OQMD describes an optimized crystal structure of NbHgSO. The functional is PBE.

Results
Size of the total moment   0.03 μB per cell
VASP energy   -24.410 eV per formula unit
Relative energy among the computed polymorphs   0.0 meV per atom

Cell lengths 8.761, 6.408, 5.575 Å; angles 90.00, 90.28, 90.00 degrees
Space group P2_1/c (No. 14)
Symmetry-distinct sites (fractional):
Nb 0.009 0.124 0.277 x4
Hg 0.443 0.722 0.473 x4
S 0.199 0.111 0.593 x4
O 0.104 0.631 0.588 x4

---

Entry 9:
This record from OQMD describes an optimized crystal structure of NbHgSO. The functional is PBE.

Results
Size of the total moment   1.92 μB per cell
VASP energy   -22.824 eV per formula unit
Relative energy among the computed polymorphs   396.6 meV per atom

Cell lengths 5.261, 5.253, 11.449 Å; angles 90.00, 97.60, 90.00 degrees
Space group P2_1 (No. 4)
Symmetry-distinct sites (fractional):
Nb 0.026 0.000 0.102 x2
Nb 0.471 0.007 0.900 x2
Hg 0.329 0.461 0.509 x2
Hg 0.435 0.506 0.769 x2
S 0.089 0.166 0.755 x2
S 0.224 0.339 0.244 x2
O 0.227 0.754 0.999 x2
O 0.269 0.252 0.002 x2

---

Entry 10:
This record from OQMD describes an optimized crystal structure of NbHgSO. The functional is PBE.

Results
Size of the total moment   0.01 μB per cell
VASP energy   -23.493 eV per formula unit
Relative energy among the computed polymorphs   229.4 meV per atom

Cell lengths 3.106, 8.688, 5.976 Å; angles 90.00, 90.00, 90.00 degrees
Space group Pmc2_1 (No. 26)
Symmetry-distinct sites (fractional):
Nb 0.000 0.145 0.000 x2
Hg 0.500 0.312 0.602 x2
S 0.500 0.337 0.145 x2
O 0.000 0.005 0.234 x2

---

Entry 11:
This record from OQMD describes an optimized crystal structure of NbHgSO. The functional is PBE.

Results
Size of the total moment   1.04 μB per cell
VASP energy   -22.088 eV per formula unit
Relative energy among the computed polymorphs   580.5 meV per atom

Cell lengths 4.007, 4.007, 9.203 Å; angles 90.00, 90.00, 90.00 degrees
Space group P4/nmm (No. 129, origin choice 2)
Symmetry-distinct sites (fractional):
Nb 0.250 0.250 0.077 x2
Hg 0.250 0.750 0.500 x2
S 0.250 0.250 0.797 x2
O 0.250 0.750 0.000 x2

---

Entry 12:
This record from OQMD describes an optimized crystal structure of NbHgSO. The functional is PBE.

Results
Size of the total moment   0.39 μB per cell
VASP energy   -23.371 eV per formula unit
Relative energy among the computed polymorphs   259.9 meV per atom

Cell lengths 6.728, 11.282, 4.990 Å; angles 90.00, 90.00, 90.00 degrees
Space group Pca2_1 (No. 29)
Symmetry-distinct sites (fractional):
Nb 0.100 0.120 0.000 x4
Hg 0.119 0.543 0.977 x4
S 0.039 0.098 0.500 x4
O 0.033 0.269 0.000 x4